Compound: Mo2Au2F
Source: the Alexandria database
Functional: PBE with a Hubbard U
Structure: optimized geometry

abc: 7.5575 7.5575 3.6721
angles: 90.00 90.00 90.00
With the nearest neighbours (Å) after each atom.
Positions (direct):
Mo 0.8315 0.3315 0.5000  6 Au 2.81-2.94
Mo 0.6685 0.8315 0.5000  6 Au 2.81-2.94
Mo 0.1685 0.6685 0.5000  6 Au 2.81-2.94
Mo 0.3315 0.1685 0.5000  6 Au 2.81-2.94
Au 0.8675 0.6325 0.0000  6 Mo 2.81-2.94, 1 Au 2.83, 2 F 2.95
Au 0.1325 0.3675 0.0000  6 Mo 2.81-2.94, 1 Au 2.83, 2 F 2.95
Au 0.3675 0.8675 0.0000  6 Mo 2.81-2.94, 1 Au 2.83, 2 F 2.95
Au 0.6325 0.1325 0.0000  6 Mo 2.81-2.94, 1 Au 2.83, 2 F 2.95
F 0.0000 0.0000 0.0000  4 Au 2.95
F 0.5000 0.5000 0.0000  4 Au 2.95

Results
The value obtained for the total magnetization is 1.728 μB/atom. Its space-group type is P4/mbm (127). The total energy is -4.12 eV per atom.